[1]
NaThSi2Pt2: optimized geometry, PBE. Values from VASP.

Computed properties:
Crystal system = trigonal
VASP energy = -6.0418 eV/atom

```
&SYSTEM
  ibrav = 0, nat = 6, ntyp = 4
/
ATOMIC_SPECIES
Na 22.99 Na.upf
Th 232.04 Th.upf
Si 28.09 Si.upf
Pt 195.08 Pt.upf
CELL_PARAMETERS angstrom
4.197 0.000 0.000
-2.098 3.634 0.000
0.000 0.000 8.279
ATOMIC_POSITIONS crystal
Na 0.000 0.000 0.000
Th 0.000 0.000 0.500
Si 0.333 0.667 0.755
Si 0.667 0.333 0.245
Pt 0.333 0.667 0.265
Pt 0.667 0.333 0.735
```

=====

[2]
Tb2Pm3Y6Zr: optimized geometry, PBE. Values from VASP.

Computed properties:
Calculated formation energy = 0.048 eV/atom
Crystal system = monoclinic

```
&SYSTEM
  ibrav = 0, nat = 12, ntyp = 4
/
ATOMIC_SPECIES
Tb 158.93 Tb.upf
Pm 145.00 Pm.upf
Y 88.91 Y.upf
Zr 91.22 Zr.upf
CELL_PARAMETERS angstrom
3.082 -5.331 0.000
3.082 5.331 0.000
-2.043 0.000 11.553
ATOMIC_POSITIONS crystal
Tb 0.167 0.833 0.000
Tb 0.833 0.167 0.000
Pm 0.000 0.000 0.500
Pm 0.334 0.666 0.500
Pm 0.666 0.334 0.500
Y 0.093 0.419 0.757
Y 0.254 0.254 0.243
Y 0.419 0.093 0.757
Y 0.581 0.907 0.243
Y 0.746 0.746 0.757
Y 0.907 0.581 0.243
Zr 0.500 0.500 0.000
```

=====

[3]
LiPbO2F: optimized geometry, PBE. Values from VASP.

Computed properties:
Crystal system = tetragonal
VASP energy = -4.5910 eV/atom

```
&SYSTEM
  ibrav = 0, nat = 5, ntyp = 4
/
ATOMIC_SPECIES
Li 6.94 Li.upf
Pb 207.20 Pb.upf
O 16.00 O.upf
F 19.00 F.upf
CELL_PARAMETERS angstrom
3.902 0.000 0.000
0.000 3.902 0.000
0.000 0.000 3.859
ATOMIC_POSITIONS crystal
Li 0.000 0.000 0.000
Pb 0.500 0.500 0.500
O 0.000 0.500 0.000
O 0.500 0.000 0.000
F 0.000 0.000 0.500
```

=====

[4]
BeHg2Os: optimized geometry, PBE. Values from VASP.

Computed properties:
Calculated formation energy = 0.862 eV/atom
Crystal system = tetragonal

```
&SYSTEM
  ibrav = 0, nat = 4, ntyp = 3
/
ATOMIC_SPECIES
Be 9.01 Be.upf
Hg 200.59 Hg.upf
Os 190.23 Os.upf
CELL_PARAMETERS angstrom
-1.953 1.953 4.399
1.953 -1.953 4.399
1.953 1.953 -4.399
ATOMIC_POSITIONS crystal
Be 0.000 0.000 0.000
Hg 0.250 0.750 0.500
Hg 0.750 0.250 0.500
Os 0.500 0.500 0.000
```

=====

[5]
PmScTlZn: optimized geometry, PBE. Values from VASP.

Computed properties:
Polymorph energy (0 for the lowest one) = 39 meV/atom
Calculated formation energy = -0.298 eV/atom
Crystal system = cubic

```
&SYSTEM
  ibrav = 0, nat = 4, ntyp = 4
/
ATOMIC_SPECIES
Pm 145.00 Pm.upf
Sc 44.96 Sc.upf
Tl 204.38 Tl.upf
Zn 65.41 Zn.upf
CELL_PARAMETERS angstrom
0.000 3.649 3.649
3.649 0.000 3.649
3.649 3.649 0.000
ATOMIC_POSITIONS crystal
Pm 0.000 0.000 0.000
Sc 0.500 0.500 0.500
Tl 0.750 0.750 0.750
Zn 0.250 0.250 0.250
```

=====

[6]
LiLu2Ru: optimized geometry, PBE. Values from VASP.

Computed properties:
Polymorph energy (0 for the lowest one) = 0 meV/atom
Calculated formation energy = -0.356 eV/atom
Crystal system = cubic

```
&SYSTEM
  ibrav = 0, nat = 4, ntyp = 3
/
ATOMIC_SPECIES
Li 6.94 Li.upf
Lu 174.97 Lu.upf
Ru 101.07 Ru.upf
CELL_PARAMETERS angstrom
0.000 3.402 3.402
3.402 0.000 3.402
3.402 3.402 0.000
ATOMIC_POSITIONS crystal
Li 0.000 0.000 0.000
Lu 0.250 0.250 0.250
Lu 0.750 0.750 0.750
Ru 0.500 0.500 0.500
```

=====

Number 1: density 9.22 g/cm3. Number 2: density 6.03 g/cm3. Number 3: density 7.49 g/cm3. Number 4: density 14.86 g/cm3. Number 5: density 7.85 g/cm3. Number 6: density 9.66 g/cm3.